The following is a PBE calculation of an optimized crystal structure of YbHgPb, from Alexandria via LeMat-Bulk.

Properties
**SG**: P6_3/mmc
**Formation energy**: -0.412 eV per atom
**ρ**: 11.467 g cm⁻³
**Crystal system**: hexagonal

Cell lengths 5.0009, 5.0009, 15.5345 Å; angles 90.00, 90.00, 120.00 degrees
Last column: nearest neighbours and their distance in Å.
Fractional coordinates of all 12 atoms:
Yb (0.0000, 0.0000, 0.0000)  6 Pb 3.25
Yb (0.0000, 0.0000, 0.2500)  6 Hg 3.27
Yb (0.0000, 0.0000, 0.5000)  6 Pb 3.25
Yb (0.0000, 0.0000, 0.7500)  6 Hg 3.27
Hg (0.3333, 0.6667, 0.1506)  3 Pb 3.01, 1 Hg 3.09, 3 Yb 3.27
Hg (0.3333, 0.6667, 0.3494)  3 Pb 3.01, 1 Hg 3.09, 3 Yb 3.27
Hg (0.6667, 0.3333, 0.6506)  3 Pb 3.01, 1 Hg 3.09, 3 Yb 3.27
Hg (0.6667, 0.3333, 0.8494)  3 Pb 3.01, 1 Hg 3.09, 3 Yb 3.27
Pb (0.3333, 0.6667, 0.5966)  3 Hg 3.01, 3 Yb 3.25
Pb (0.3333, 0.6667, 0.9034)  3 Hg 3.01, 3 Yb 3.25
Pb (0.6667, 0.3333, 0.0966)  3 Hg 3.01, 3 Yb 3.25
Pb (0.6667, 0.3333, 0.4034)  3 Hg 3.01, 3 Yb 3.25



The following is a PBE calculation of an optimized crystal structure of CaMn3B, from Alexandria via LeMat-Bulk.

Properties
**SG**: Pm-3m
**Formation energy**: 0.254 eV per atom
**ρ**: 4.951 g cm⁻³
**Crystal system**: cubic
**Polymorph energy (0 for the lowest one)**: 0 meV/atom

Cell lengths 4.1668, 4.1668, 4.1668 Å; angles 90.00, 90.00, 90.00 degrees
Last column: nearest neighbours and their distance in Å.
Fractional coordinates of all 5 atoms:
Ca (0.0000, 0.0000, 0.0000)  12 Mn 2.95
Mn (0.0000, 0.5000, 0.5000)  2 B 2.08
Mn (0.5000, 0.0000, 0.5000)  2 B 2.08
Mn (0.5000, 0.5000, 0.0000)  2 B 2.08
B (0.5000, 0.5000, 0.5000)  6 Mn 2.08



The following is a PBE calculation of an optimized crystal structure of KTc2Cl, from Alexandria via LeMat-Bulk.

Properties
**SG**: Cmmm
**ρ**: 4.609 g cm⁻³
**Crystal system**: orthorhombic
**Raw formation energy**: 23.2 kcal/mol of atoms
**Polymorph energy (0 for the lowest one)**: 957 meV/atom

Cell lengths 7.7462, 7.7462, 2.5877 Å; angles 90.00, 90.00, 141.12 degrees
Last column: nearest neighbours and their distance in Å.
Fractional coordinates of all 4 atoms:
K (0.0000, 0.0000, 0.0000)  2 Cl 2.58, 2 K 2.59
Tc (0.0000, 0.5000, 0.5000)  4 Tc 2.58-2.59
Tc (0.5000, 0.0000, 0.5000)  4 Tc 2.58-2.59
Cl (0.5000, 0.5000, 0.0000)  2 K 2.58, 2 Cl 2.59



The following is a PBE calculation of an optimized crystal structure of MgTaCl, from Alexandria via LeMat-Bulk.

Properties
**SG**: P3m1
**ρ**: 5.827 g cm⁻³
**Crystal system**: trigonal
**Raw formation energy**: -5.7 kcal/mol of atoms
**Polymorph energy (0 for the lowest one)**: 0 meV/atom

Cell lengths 3.1349, 3.1349, 8.0601 Å; angles 90.00, 90.00, 120.00 degrees
Last column: nearest neighbours and their distance in Å.
Fractional coordinates of all 3 atoms:
Mg (0.0000, 0.0000, 0.0000)  3 Ta 2.97, 6 Mg 3.13
Ta (0.6667, 0.3333, 0.2921)  3 Cl 2.51
Cl (0.3333, 0.6667, 0.5069)  3 Ta 2.51



The following is a PBE calculation of an optimized crystal structure of Cr2Au, from Alexandria via LeMat-Bulk.

Properties
**SG**: P-62m
**Formation energy**: 0.355 eV per atom
**ρ**: 10.172 g cm⁻³
**Crystal system**: hexagonal

Cell lengths 7.5457, 7.5457, 2.9891 Å; angles 90.00, 90.00, 120.00 degrees
Last column: nearest neighbours and their distance in Å.
Fractional coordinates of all 9 atoms:
Cr (0.0000, 0.2990, 0.0000)  4 Au 2.65-2.71, 6 Cr 2.92-2.97
Cr (0.0000, 0.6310, 0.5000)  5 Au 2.78-2.82, 8 Cr 2.92-2.99
Cr (0.2990, 0.0000, 0.0000)  4 Au 2.65-2.71, 6 Cr 2.92-2.97
Cr (0.3690, 0.3690, 0.5000)  5 Au 2.78-2.82, 8 Cr 2.92-2.99
Cr (0.6310, 0.0000, 0.5000)  5 Au 2.78-2.82, 8 Cr 2.92-2.99
Cr (0.7010, 0.7010, 0.0000)  4 Au 2.65-2.71, 6 Cr 2.92-2.97
Au (0.0000, 0.0000, 0.5000)  9 Cr 2.71-2.78, 2 Au 2.99
Au (0.3333, 0.6667, 0.0000)  9 Cr 2.65-2.82
Au (0.6667, 0.3333, 0.0000)  9 Cr 2.65-2.82



The following is a PBE calculation of an optimized crystal structure of TmZnSe, from Alexandria via LeMat-Bulk.

Properties
**SG**: R-3m
**ρ**: 6.777 g cm⁻³
**Crystal system**: trigonal
**Raw formation energy**: -24.1 kcal/mol of atoms

Cell lengths 9.4152, 9.4152, 9.4152 Å; angles 27.17, 27.17, 27.17 degrees
Last column: nearest neighbours and their distance in Å.
Fractional coordinates of all 6 atoms:
Tm (0.0652, 0.0652, 0.0652)  3 Se 2.79, 3 Zn 3.05
Tm (0.9348, 0.9348, 0.9348)  3 Se 2.79, 3 Zn 3.05
Zn (0.3293, 0.3293, 0.3293)  3 Zn 2.56, 1 Se 2.78
Zn (0.6707, 0.6707, 0.6707)  3 Zn 2.56, 1 Se 2.78
Se (0.2271, 0.2271, 0.2271)  1 Zn 2.78, 3 Tm 2.79
Se (0.7729, 0.7729, 0.7729)  1 Zn 2.78, 3 Tm 2.79